This record from the Alexandria database describes a relaxed structure of RbBa2U3S8. The functional is PBE.

Unit cell a=8.3887 b=8.3887 c=8.9354 alpha=62.00 beta=62.00 gamma=60.00
With the nearest neighbours (Å) after each atom.
Sites, in units of the cell vectors:
Rb1 0.8675 0.8675 0.3974  4 S 3.10-3.17
U1 0.9965 0.5004 0.0028  6 S 2.70-2.84
U2 0.5004 0.9965 0.0028  6 S 2.70-2.84
U3 0.5004 0.5004 0.0028  6 S 2.70-2.84
S1 0.7269 0.7269 0.8192  3 U 2.77
S2 0.2508 0.2508 0.8012  2 U 2.76, 1 Ba 3.00
S3 0.3069 0.7500 0.1930  2 U 2.70
S4 0.2508 0.6971 0.8012  2 U 2.76, 1 Ba 3.00
S5 0.7500 0.3069 0.1930  2 U 2.70
S6 0.7500 0.7500 0.1930  2 U 2.70
S7 0.6971 0.2508 0.8012  2 U 2.76, 1 Ba 3.00
S8 0.2681 0.2681 0.1957  3 U 2.84
Ba1 0.1259 0.1259 0.6224  4 S 3.00-3.20
Ba2 0.5012 0.5012 0.4963  6 S 3.13-3.15

Values from the calculation:
* energy: -93.28 eV/cell
* calculated volume: 32.7 Å³/atom
* raw formation energy: -1542 meV/atom
* space group: R3m